# La2PmTm9 | Alexandria | PBE | relaxed
data_La2PmTm9
_chemical_formula_sum 'La2 Pm1 Tm9'
_space_group_name_H-M_alt 'P 4/m m m'
_space_group_IT_number 123
_space_group_name_Hall '-P 4 2'
_cell_length_a 5.018
_cell_length_b 5.018
_cell_length_c 15.069
_cell_angle_alpha 90.00
_cell_angle_beta 90.00
_cell_angle_gamma 90.00
loop_
_atom_site_label
_atom_site_type_symbol
_atom_site_fract_x
_atom_site_fract_y
_atom_site_fract_z
La1 La 0.000 0.000 0.166
Pm1 Pm 0.000 0.000 0.500
Tm1 Tm 0.000 0.500 0.000
Tm2 Tm 0.000 0.500 0.336
Tm3 Tm 0.500 0.500 0.168
Tm4 Tm 0.500 0.500 0.500
# DOS at the Fermi energy = 19.03 states/eV/f.u.
# Uncorrected energy = -4.5340 eV per atom